Here is NbP2ICl after structural relaxation from Alexandria via LeMat-Bulk. Energies are from PBE.

Cell: 5.1497 5.1497 5.0375 Å, 90.00 90.00 90.00°
Last column: nearest neighbours and their distance in Å.
Space group P4/mmm (No. 123)
Asymmetric unit:
Nb (0.0000, 0.0000, 0.0000) x1  8 P 3.60, 4 Cl 3.64
P (0.0000, 0.5000, 0.5000) x2  2 I 2.57
I (0.5000, 0.5000, 0.5000) x1  2 Cl 2.52, 4 P 2.57
Cl (0.5000, 0.5000, 0.0000) x1  2 I 2.52

Raw total energy ... -3.288 eV/atom
Formation energy without anion corrections ... 1.569 eV per atom

Here is Ce5DyRu6 after structural relaxation from Alexandria via LeMat-Bulk. Energies are from PBE.

Cell: 4.8134 14.7138 6.9321 Å, 90.00 91.47 90.00°
Last column: nearest neighbours and their distance in Å.
Space group C2/m (No. 12)
Asymmetric unit:
Ce (0.0000, 0.0000, 0.0000) x2  8 Ru 2.78-3.09
Ce (0.0000, 0.3341, 0.0000) x4  8 Ru 2.91-3.02
Ce (0.0000, 0.3350, 0.5000) x4  8 Ru 2.85-3.07
Dy (0.0000, 0.0000, 0.5000) x2  8 Ru 3.02-3.08
Ru (0.0168, 0.1720, 0.2553) x8  7 Ce 2.85-3.09, 1 Dy 3.05
Ru (0.0174, 0.5000, 0.7710) x4  6 Ce 2.78-3.07, 2 Dy 3.02-3.08

Raw total energy ... -7.819 eV/atom
Energy of formation ... -0.3254 eV per atom

Here is LiReI2 after structural relaxation from Alexandria via LeMat-Bulk. Energies are from PBE.

Cell: 6.4207 6.4207 11.3731 Å, 90.00 90.00 90.00°
Last column: nearest neighbours and their distance in Å.
Space group I-42d (No. 122)
Asymmetric unit:
Li (0.0000, 0.0000, 0.0000) x4  4 I 2.74
Re (0.0000, 0.0000, 0.5000) x4  4 I 2.62
I (0.2335, 0.2500, 0.6250) x8  2 Re 2.62, 2 Li 2.74

Raw total energy ... -3.780 eV/atom
Formation energy without anion corrections ... 0.586 eV per atom

Here is CdPRu2 after structural relaxation from Alexandria via LeMat-Bulk. Energies are from PBE.

Cell: 2.9695 4.8777 8.4841 Å, 90.00 90.00 90.00°
Last column: nearest neighbours and their distance in Å.
Space group Immm (No. 71)
Asymmetric unit:
Cd (0.0000, 0.0000, 0.0000) x2  4 P 2.86, 8 Ru 2.90-3.00, 2 Cd 2.97
P (0.0000, 0.0000, 0.5000) x2  4 Ru 2.30
Ru (0.0000, 0.5000, 0.2064) x4  2 P 2.30

Raw total energy ... -6.139 eV/atom
Energy of formation ... 0.0803 eV per atom

Here is Hg2Pd12Pt5 after structural relaxation from Alexandria via LeMat-Bulk. Energies are from PBE.

Cell: 12.2130 8.1357 6.5377 Å, 90.00 97.98 90.00°
Last column: nearest neighbours and their distance in Å.
Space group C2/m (No. 12)
Asymmetric unit:
Hg (0.0000, 0.2372, 0.0000) x4  6 Pd 2.70-2.97, 2 Pt 2.85
Pd (0.0505, 0.5000, 0.7207) x4  2 Pt 2.70-2.81, 7 Pd 2.72-2.98, 2 Hg 2.93
Pd (0.1068, 0.2798, 0.4328) x8  4 Pt 2.69-2.84, 5 Pd 2.72-2.87, 1 Hg 2.97
Pd (0.1279, 0.0000, 0.8668) x4  3 Pt 2.67-2.70, 2 Hg 2.70, 4 Pd 2.85-2.98
Pd (0.2421, 0.3185, 0.8152) x8  6 Pd 2.64-2.95, 3 Pt 2.71-2.91
Pt (0.0000, 0.0000, 0.5000) x2  6 Pd 2.67-2.69, 2 Pt 2.69
Pt (0.1504, 0.5000, 0.1167) x4  1 Pt 2.68, 9 Pd 2.70-2.91, 2 Hg 2.85
Pt (0.2211, 0.0000, 0.5168) x4  2 Pt 2.68-2.69, 7 Pd 2.69-2.75

Raw total energy ... -4.815 eV/atom
Energy of formation ... 0.0857 eV per atom

Here is Eu2HoTl after structural relaxation from Alexandria via LeMat-Bulk. Energies are from PBE.

Cell: 3.7278 3.7278 9.7457 Å, 90.00 90.00 90.00°
Last column: nearest neighbours and their distance in Å.
Space group P4/mmm (No. 123)
Asymmetric unit:
Eu (0.0000, 0.0000, 0.2276) x2  4 Tl 3.44, 4 Eu 3.73, 4 Ho 3.74
Ho (0.5000, 0.5000, 0.5000) x1  4 Ho 3.73, 8 Eu 3.74
Tl (0.5000, 0.5000, 0.0000) x1  8 Eu 3.44, 4 Tl 3.73

Raw total energy ... -6.994 eV/atom
Energy of formation ... -0.1206 eV per atom

Here is Sc2FeMo after structural relaxation from Alexandria via LeMat-Bulk. Energies are from PBE.

Cell: 3.9814 3.9814 8.8929 Å, 90.00 90.00 90.00°
Last column: nearest neighbours and their distance in Å.
Space group I-4m2 (No. 119)
Asymmetric unit:
Sc (0.0000, 0.0000, 0.0000) x2  4 Mo 2.82, 4 Fe 2.98, 4 Sc 2.98
Sc (0.0000, 0.5000, 0.2500) x2  4 Fe 2.82, 4 Mo 2.98, 4 Sc 2.98
Fe (0.0000, 0.5000, 0.7500) x2  8 Sc 2.82-2.98, 4 Mo 2.98
Mo (0.0000, 0.0000, 0.5000) x2  8 Sc 2.82-2.98, 4 Fe 2.98

Raw total energy ... -7.727 eV/atom
Energy of formation ... 0.2627 eV per atom

Here is Ir2RhBr after structural relaxation from Alexandria via LeMat-Bulk. Energies are from PBE.

Cell: 6.3401 6.3401 6.3401 Å, 90.00 90.00 90.00°
Last column: nearest neighbours and their distance in Å.
Space group Fm-3m (No. 225)
Asymmetric unit:
Ir (0.2500, 0.2500, 0.2500) x8  4 Br 2.75, 4 Rh 2.75
Rh (0.0000, 0.0000, 0.0000) x4  8 Ir 2.75
Br (0.0000, 0.0000, 0.5000) x4  8 Ir 2.75

Raw total energy ... -5.597 eV/atom
Formation energy without anion corrections ... 1.090 eV per atom

Here is GdSc2O after structural relaxation from Alexandria via LeMat-Bulk. Energies are from PBE.

Cell: 2.9814 2.9814 8.4272 Å, 90.00 90.00 90.00°
Last column: nearest neighbours and their distance in Å.
Space group P4/mmm (No. 123)
Asymmetric unit:
Gd (0.0000, 0.0000, 0.0000) x1  4 Gd 2.98
Sc (0.5000, 0.5000, 0.3326) x2  4 O 2.54, 1 Sc 2.82
O (0.0000, 0.0000, 0.5000) x1  8 Sc 2.54

Raw total energy ... -8.772 eV/atom
Formation energy without anion corrections ... -0.846 eV per atom

Here is POs2Br after structural relaxation from Alexandria via LeMat-Bulk. Energies are from PBE.

Cell: 4.3810 4.3810 3.0801 Å, 90.00 90.00 90.00°
Last column: nearest neighbours and their distance in Å.
Space group P4/mmm (No. 123)
Asymmetric unit:
P (0.0000, 0.0000, 0.0000) x1  8 Os 2.68
Os (0.0000, 0.5000, 0.5000) x2  4 Br 2.68, 4 P 2.68
Br (0.5000, 0.5000, 0.0000) x1  8 Os 2.68

Raw total energy ... -6.249 eV/atom
Formation energy without anion corrections ... 1.137 eV per atom

Here is NdTl2SnSe4 after structural relaxation from Alexandria via LeMat-Bulk. Energies are from PBE.

Cell: 7.4831 4.2215 8.0449 Å, 90.00 107.91 90.00°
Last column: nearest neighbours and their distance in Å.
Space group P2/m (No. 10)
Asymmetric unit:
Nd (0.0000, 0.0000, 0.0000) x1  6 Se 2.96-2.99
Tl (0.0000, 0.5000, 0.5000) x1  6 Se 3.31-3.37
Tl (0.5000, 0.0000, 0.5000) x1  6 Se 3.29-3.31
Sn (0.5000, 0.5000, 0.0000) x1  6 Se 2.93
Se (0.2433, 0.5000, 0.2107) x2  1 Sn 2.93, 2 Nd 2.96
Se (0.2663, 0.0000, 0.7888) x2  2 Sn 2.93, 1 Nd 2.99

Raw total energy ... -4.293 eV/atom
Formation energy without anion corrections ... -0.863 eV per atom

Here is Tl2RhBrN after structural relaxation from Alexandria via LeMat-Bulk. Energies are from PBE.

Cell: 4.9000 4.9000 4.4707 Å, 90.00 90.00 90.00°
Last column: nearest neighbours and their distance in Å.
Space group P4/mmm (No. 123)
Asymmetric unit:
Tl (0.0000, 0.5000, 0.0000) x2  2 N 2.45
Rh (0.0000, 0.0000, 0.5000) x1  8 Tl 3.32, 4 Br 3.46
Br (0.5000, 0.5000, 0.5000) x1  2 N 2.24
N (0.5000, 0.5000, 0.0000) x1  2 Br 2.24, 4 Tl 2.45

Raw total energy ... -3.354 eV/atom
Formation energy without anion corrections ... 1.062 eV per atom

Here is CaPaSbO5 after structural relaxation from Alexandria via LeMat-Bulk. Energies are from PBE.

Cell: 8.4715 9.1840 8.4729 Å, 90.00 117.80 90.00°
Last column: nearest neighbours and their distance in Å.
Space group C2/c (No. 15)
Asymmetric unit:
Ca (0.0000, 0.0586, 0.2500) x4  5 O 2.31-2.55
Pa (0.2500, 0.2500, 0.0000) x4  6 O 2.13-2.26
Sb (0.0000, 0.4243, 0.2500) x4  2 O 2.00
O (0.0000, 0.2194, 0.7500) x4  2 Pa 2.21
O (0.0918, 0.2653, 0.1527) x8  1 Sb 2.00
O (0.2389, 0.0186, 0.0128) x8  1 Pa 2.13, 1 Ca 2.31, 1 Sb 2.35

Raw total energy ... -7.746 eV/atom
Formation energy without anion corrections ... -2.695 eV per atom

Here is TaRe2Hg after structural relaxation from Alexandria via LeMat-Bulk. Energies are from PBE.

Cell: 3.0146 3.0146 26.8233 Å, 90.00 90.00 120.00°
Last column: nearest neighbours and their distance in Å.
Space group R-3m (No. 166, hexagonal axes)
Asymmetric unit:
Ta (0.0000, 0.0000, 0.0000) x3  6 Re 2.69
Re (0.0000, 0.0000, 0.2570) x6  3 Ta 2.69, 3 Hg 2.98
Hg (0.0000, 0.0000, 0.5000) x3  6 Re 2.98, 6 Hg 3.01

Raw total energy ... -8.801 eV/atom
Energy of formation ... 0.4615 eV per atom

Here is Ac2InGe3Au4 after structural relaxation from Alexandria via LeMat-Bulk. Energies are from PBE.

Cell: 4.5822 4.5822 11.0820 Å, 90.00 90.00 90.00°
Last column: nearest neighbours and their distance in Å.
Space group P-4m2 (No. 115)
Asymmetric unit:
Ac (0.0000, 0.5000, 0.2354) x2  6 Ge 3.46-3.72, 8 Au 3.47-3.51, 2 In 3.72
In (0.0000, 0.0000, 0.5000) x1  4 Au 2.79
Ge (0.0000, 0.5000, 0.8733) x2  5 Au 2.55-2.69
Ge (0.5000, 0.5000, 0.5000) x1  4 Au 2.79
Au (0.0000, 0.0000, 0.0000) x1  4 Ge 2.69
Au (0.0000, 0.5000, 0.6429) x2  3 Ge 2.55-2.79, 2 In 2.79
Au (0.5000, 0.5000, 0.0000) x1  4 Ge 2.69

Raw total energy ... -4.400 eV/atom
Energy of formation ... -0.6087 eV per atom

Here is LiHf2UN4 after structural relaxation from Alexandria via LeMat-Bulk. Energies are from PBE.

Cell: 4.5420 4.5420 9.2864 Å, 90.00 90.00 90.00°
Last column: nearest neighbours and their distance in Å.
Space group I4/mmm (No. 139)
Asymmetric unit:
Li (0.0000, 0.0000, 0.0000) x2  6 N 2.27-2.39
Hf (0.0000, 0.5000, 0.2500) x4  6 N 2.27-2.32
U (0.0000, 0.0000, 0.5000) x2  6 N 2.26-2.27
N (0.0000, 0.0000, 0.2570) x4  1 U 2.26, 4 Hf 2.27, 1 Li 2.39
N (0.0000, 0.5000, 0.0000) x4  2 U 2.27, 2 Li 2.27, 2 Hf 2.32

Raw total energy ... -9.745 eV/atom
Formation energy without anion corrections ... -1.444 eV per atom

Here is CaCr3H after structural relaxation from Alexandria via LeMat-Bulk. Energies are from PBE.

Cell: 4.1431 4.1431 4.1431 Å, 90.00 90.00 90.00°
Last column: nearest neighbours and their distance in Å.
Space group Pm-3m (No. 221)
Asymmetric unit:
Ca (0.0000, 0.0000, 0.0000) x1  12 Cr 2.93
Cr (0.0000, 0.5000, 0.5000) x3  2 H 2.07
H (0.5000, 0.5000, 0.5000) x1  6 Cr 2.07

Raw total energy ... -6.020 eV/atom

Values for size of the total moment, μB/f.u., ordered as above
2.24; 0.00; 0.00; 0.00; 0.00; 15.55; 2.54; 1.47; 5.96; 0.00; 0.00; 0.91; 0.00; 0.00; 0.00; 0.63; 8.47